1.
TlAuBr2Cl | Alexandria via LeMat-Bulk | PBE | optimized geometry; space group = P4/mmm (123); uncorrected formation energy = -444 meV per atom
1.0
5.4129 0.0000 0.0000
0.0000 5.4129 0.0000
0.0000 0.0000 5.0821
Tl Au Br Cl
1 1 2 1
Cartesian
0.0000 0.0000 0.0000
2.7065 2.7065 2.5411
0.0000 2.7065 2.5411
2.7065 0.0000 2.5411
2.7065 2.7065 0.0000

---

2.
Mg2FeRh | Alexandria via LeMat-Bulk | PBE | optimized geometry; space group = Imm2 (44); energy of formation = -0.10 eV per atom
1.0
-1.5390 2.2524 4.5639
1.5390 -2.2524 4.5639
1.5390 2.2524 -4.5639
Mg Fe Rh
2 1 1
Cartesian
0.0000 0.0000 0.0000
0.0000 2.2524 2.0110
0.0000 0.0000 4.2255
1.5390 0.0000 2.2582

---

3.
MnCdRu4 | Alexandria via LeMat-Bulk | PBE | optimized geometry; space group = F-43m (216); energy of formation = 0.46 eV per atom
1.0
0.0000 3.6374 3.6374
3.6374 0.0000 3.6374
3.6374 3.6374 0.0000
Mn Cd Ru
1 1 4
Cartesian
0.0000 0.0000 0.0000
1.8187 1.8187 1.8187
4.5485 2.7263 2.7263
2.7263 4.5485 2.7263
2.7263 2.7263 4.5485
4.5485 4.5485 4.5485

---

4.
Nd6Dy5Ho2 | Alexandria via LeMat-Bulk | PBE | optimized geometry; space group = Pbam (55); energy of formation = 0.10 eV per atom
1.0
11.7160 0.0000 0.0000
0.0000 20.6324 0.0000
0.0000 0.0000 3.6250
Nd Dy Ho
12 10 4
Cartesian
0.7112 1.6554 0.0000
0.9726 7.5777 0.0000
2.0290 13.1079 1.8125
3.8290 2.7917 1.8125
4.8854 17.8939 0.0000
5.1468 11.9716 0.0000
6.5692 8.6608 0.0000
6.8306 2.7386 0.0000
7.8870 17.8408 1.8125
9.6870 7.5246 1.8125
10.7434 13.0548 0.0000
11.0048 18.9770 0.0000
0.0000 10.3162 1.8125
1.0775 4.6741 1.8125
2.3194 19.4808 1.8125
3.5386 9.1646 1.8125
4.7805 14.9903 1.8125
5.8580 0.0000 1.8125
6.9355 5.6421 1.8125
8.1774 11.4679 1.8125
9.3966 1.1516 1.8125
10.6385 15.9584 1.8125
1.9479 16.2906 0.0000
3.9101 5.9744 0.0000
7.8059 14.6580 0.0000
9.7681 4.3418 0.0000

---

5.
Li2CaAlH | Alexandria via LeMat-Bulk | PBE | optimized geometry; space group = P4/mmm (123); final energy = -2.732 eV per atom
1.0
4.4222 0.0000 0.0000
0.0000 4.4222 0.0000
0.0000 0.0000 4.5962
Li Ca Al H
2 1 1 1
Cartesian
0.0000 2.2111 0.0000
2.2111 0.0000 0.0000
0.0000 0.0000 2.2981
2.2111 2.2111 2.2981
0.0000 0.0000 0.0000

---

6.
K2Rb5Na4 | Alexandria via LeMat-Bulk | PBE | optimized geometry; space group = C2/m (12); energy of formation = 0.06 eV per atom; ΔE to the lowest computed polymorph = 29 meV/atom
1.0
7.7699 -4.4570 0.0000
7.7699 4.4570 0.0000
-5.6513 0.0000 10.7518
K Rb Na
2 5 4
Cartesian
-0.8532 0.0000 2.2355
10.7417 0.0000 8.5163
2.8214 2.3457 3.7124
7.0671 2.3457 7.0393
7.7699 0.0000 0.0000
2.8214 -2.3457 3.7124
7.0671 -2.3457 7.0393
3.7517 0.0000 0.3741
3.5702 0.0000 7.0790
6.3183 0.0000 3.6728
6.1368 0.0000 10.3777

---

7.
PtW2Br | Alexandria via LeMat-Bulk | PBE | optimized geometry; space group = Cmmm (65); uncorrected formation energy = 879 meV per atom; ΔE to the lowest computed polymorph = 474 meV/atom
1.0
1.5479 -2.3783 0.0000
1.5479 2.3783 0.0000
0.0000 0.0000 9.3599
Pt W Br
1 2 1
Cartesian
0.0000 0.0000 0.0000
1.5479 0.0000 2.2455
1.5479 0.0000 7.1143
0.0000 0.0000 4.6799

---

8.
Pm5TmTe6 | Alexandria via LeMat-Bulk | PBE | optimized geometry; space group = C2/m (12); uncorrected formation energy = -1372 meV per atom
1.0
3.8298 -6.6637 0.0000
3.8298 6.6637 0.0000
-2.5503 0.0000 7.2691
Pm Tm Te
5 1 6
Cartesian
0.0000 0.0000 0.0000
2.5547 4.4288 3.6346
3.8298 2.3447 0.0000
3.8298 -2.3447 0.0000
2.5547 -4.4288 3.6346
2.5547 0.0000 3.6346
1.3198 2.1472 1.8688
0.0846 0.0000 5.4515
1.3198 -2.1472 1.8688
3.7895 2.1472 5.4003
5.0247 0.0000 1.8176
3.7895 -2.1472 5.4003

---

9.
KTe2Cl | Alexandria via LeMat-Bulk | PBE | optimized geometry; space group = Immm (71); uncorrected formation energy = -839 meV per atom; ΔE to the lowest computed polymorph = 10 meV/atom
1.0
-2.0870 2.0982 8.8356
2.0870 -2.0982 8.8356
2.0870 2.0982 -8.8356
K Te Cl
1 2 1
Cartesian
0.0000 0.0000 0.0000
2.0870 0.0000 3.9992
0.0000 2.0982 4.8364
0.0000 0.0000 8.8356

---

10.
KTb4NdSe8 | Alexandria via LeMat-Bulk | PBE | optimized geometry; space group = R3m (160); uncorrected formation energy = -1751 meV per atom
1.0
4.3054 2.4857 7.1511
-4.3054 2.4857 7.1511
0.0000 -4.9714 7.1511
K Tb Nd Se
1 4 1 8
Cartesian
0.0000 0.0000 0.0000
-2.2308 -1.2879 9.8653
0.0000 0.0000 5.4447
2.2308 -1.2879 9.8654
0.0000 2.5759 9.8654
0.0000 0.0000 13.5742
0.0000 -2.3661 11.5986
-2.0491 1.1831 11.5986
0.0000 0.0000 8.2716
-1.9184 -1.1076 15.4274
2.0491 1.1831 11.5986
0.0000 0.0000 18.4870
1.9184 -1.1076 15.4274
0.0000 2.2152 15.4274

---

11.
CsCaP2 | Alexandria via LeMat-Bulk | PBE | optimized geometry; space group = Fm-3m (225); energy of formation = 0.12 eV per atom; ΔE to the lowest computed polymorph = 358 meV/atom
1.0
0.0000 3.8246 3.8246
3.8246 0.0000 3.8246
3.8246 3.8246 0.0000
Cs Ca P
1 1 2
Cartesian
0.0000 0.0000 0.0000
3.8246 3.8246 3.8246
1.9123 1.9123 1.9123
5.7369 5.7369 5.7369

---

12.
YCoPCl2 | Alexandria via LeMat-Bulk | PBE | optimized geometry; space group = P4/mmm (123); uncorrected formation energy = -563 meV per atom; ΔE to the lowest computed polymorph = 0 meV/atom
1.0
4.4193 0.0000 0.0000
0.0000 4.4193 0.0000
0.0000 0.0000 4.8726
Y Co P Cl
1 1 1 2
Cartesian
0.0000 0.0000 0.0000
2.2096 2.2096 2.4363
2.2096 2.2096 0.0000
0.0000 2.2096 2.4363
2.2096 0.0000 2.4363

---

Asked for DOS(E_F) across the records above, the calculation gives 1.82; 3.27; 7.20; 15.10; 2.33; 8.26; 3.64; 6.06; 0.98; 0.00; 3.90; 2.24 states/eV/f.u. in order.